First-principles (GGA-PBEsol) data for crystalline Cs2ThSi6O15 at its relaxed geometry, as listed in Alexandria.

Cell: 7.3554 9.1231 13.5394 Å, 90.00 90.00 113.77°
Fractional coordinates of all 48 atoms:
Cs 0.6110 0.2220 0.5412
Cs 0.3890 0.7780 0.0412
Cs 0.7378 0.4755 0.8469
Cs 0.2622 0.5245 0.3469
Th 0.1261 0.2522 0.6882
Th 0.8739 0.7478 0.1882
Si 0.1390 0.2779 0.9671
Si 0.8610 0.7221 0.4671
Si 0.1040 0.6232 0.6203
Si 0.5192 0.6232 0.6203
Si 0.8960 0.3768 0.1203
Si 0.4808 0.3768 0.1203
Si 0.0434 0.0868 0.4390
Si 0.9566 0.9132 0.9390
Si 0.6716 0.9115 0.7633
Si 0.2399 0.9115 0.7633
Si 0.3284 0.0885 0.2633
Si 0.7601 0.0885 0.2633
O 0.0001 0.4451 0.6646
O 0.4450 0.4451 0.6646
O 0.9999 0.5549 0.1646
O 0.5550 0.5549 0.1646
O 0.8014 0.0742 0.7064
O 0.2729 0.0742 0.7064
O 0.1986 0.9258 0.2064
O 0.7271 0.9258 0.2064
O 0.1140 0.2279 0.5193
O 0.8860 0.7721 0.0193
O 0.1550 0.3100 0.8507
O 0.8450 0.6900 0.3507
O 0.0953 0.7525 0.7015
O 0.6572 0.7525 0.7015
O 0.9047 0.2475 0.2015
O 0.3428 0.2475 0.2015
O 0.3358 0.6715 0.5878
O 0.6642 0.3285 0.0878
O 0.9975 0.6376 0.5169
O 0.6401 0.6376 0.5169
O 0.0025 0.3624 0.0169
O 0.3599 0.3624 0.0169
O 0.8682 0.1026 0.3710
O 0.2344 0.1026 0.3710
O 0.1318 0.8974 0.8710
O 0.7656 0.8974 0.8710
O 0.9564 0.9128 0.4942
O 0.0436 0.0872 0.9942
O 0.4468 0.8937 0.7900
O 0.5532 0.1063 0.2900

The calculation puts the uncorrected formation energy at -2.882 eV per atom. The total DFT energy (no corrections) comes out at -0.29457 hartree per atom. The value obtained for the density of states at the Fermi level is 0.00 states/eV/atom. Its space group is No. 36. The magnetization comes out at 0.000 μB per atom.